1.
# Ho3Hg2Ir, relaxed, DFT PBE
data_Ho3Hg2Ir
_symmetry_space_group_name_H-M 'C 1 2/m 1'
_symmetry_Int_Tables_number 12
_cell_length_a 15.238
_cell_length_b 5.460
_cell_length_c 3.833
_cell_angle_alpha 90.00
_cell_angle_beta 97.07
_cell_angle_gamma 90.00
loop_
_symmetry_equiv_pos_as_xyz
'x,y,z'
'-x,-y,-z'
'-x,y,-z'
'x,-y,z'
'x+1/2,y+1/2,z'
'-x+1/2,-y+1/2,-z'
'-x+1/2,y+1/2,-z'
'x+1/2,-y+1/2,z'
loop_
_atom_site_label
_atom_site_fract_x
_atom_site_fract_y
_atom_site_fract_z
Ho1 0.000 0.000 0.000
Ho2 0.131 0.500 0.557
Hg1 0.198 0.000 0.866
Ir1 0.000 0.500 0.000
# Magnetization, Bohr magnetons per cell: 0.00

2.
# Ho3Hg2Ir, relaxed, DFT PBE
data_Ho3Hg2Ir
_symmetry_space_group_name_H-M 'C m m m'
_symmetry_Int_Tables_number 65
_symmetry_space_group_name_Hall '-C 2 2'
_cell_length_a 5.039
_cell_length_b 15.072
_cell_length_c 7.426
_cell_angle_alpha 90.00
_cell_angle_beta 90.00
_cell_angle_gamma 90.00
loop_
_atom_site_label
_atom_site_fract_x
_atom_site_fract_y
_atom_site_fract_z
Ho1 0.000 0.000 0.234
Ho2 0.000 0.326 0.224
Hg1 0.000 0.166 0.500
Hg2 0.000 0.500 0.000
Hg3 0.000 0.500 0.500
Ir1 0.000 0.160 0.000
# Magnetization, Bohr magnetons per cell: 0.00

The structure with the greatest stability is 2.